Ho2Mg2Tl7 (PBE, relaxed); N(E_F) = 5.9 states/eV per cell; energy of formation = -0.038 eV per atom; raw total energy = -2.6660 eV per atom
1.0
-1.810 9.094 4.709
1.810 -9.094 4.709
1.810 9.094 -4.709
Ho Mg Tl
2 2 7
direct
0.245 0.000 0.245
0.755 0.000 0.755
0.346 0.846 0.500
0.743 0.743 0.000
0.057 0.707 0.350
0.059 0.059 0.000
0.357 0.707 0.650
0.395 0.504 0.890
0.614 0.504 0.110
0.670 0.308 0.362
0.946 0.308 0.638